{"formula": "MgUTe2O8", "functional": "GGA-PBE", "state": "relaxed", "e_tot_ev_per_atom": -6.69, "spacegroup": "No. 164", "lattice": [[6.363, 0.000, 0.000], [-3.182, 5.511, 0.000], [0.000, 0.000, 5.858]], "species": ["O", "O", "O", "O", "O", "O", "O", "O", "Mg", "Te", "Te", "U"], "fractional_positions": [[0.667, 0.333, 0.925], [0.333, 0.667, 0.075], [0.860, 0.720, 0.245], [0.720, 0.860, 0.755], [0.860, 0.140, 0.245], [0.140, 0.280, 0.755], [0.140, 0.860, 0.755], [0.280, 0.140, 0.245], [0.000, 0.000, 0.500], [0.667, 0.333, 0.234], [0.333, 0.667, 0.766], [0.000, 0.000, 0.000]]}

---

{"formula": "Tb2PmSm5Er", "functional": "GGA-PBE", "state": "relaxed", "e_tot_ev_per_atom": -4.54, "spacegroup": "No. 36", "lattice": [[-0.125, -5.629, -0.395], [9.220, 2.916, -4.142], [4.572, -0.778, 9.631]], "species": ["Sm", "Sm", "Sm", "Sm", "Sm", "Sm", "Sm", "Sm", "Sm", "Sm", "Tb", "Tb", "Tb", "Tb", "Pm", "Pm", "Er", "Er"], "fractional_positions": [[0.701, 0.403, 0.205], [0.983, 0.967, 0.522], [0.480, 0.960, 0.741], [0.299, 0.597, 0.705], [0.281, 0.562, 0.308], [0.520, 0.040, 0.241], [0.391, 0.783, 0.024], [0.609, 0.217, 0.524], [0.017, 0.033, 0.022], [0.719, 0.438, 0.808], [0.116, 0.231, 0.318], [0.111, 0.221, 0.737], [0.884, 0.769, 0.818], [0.889, 0.779, 0.237], [0.799, 0.598, 0.510], [0.201, 0.402, 0.010], [0.411, 0.821, 0.458], [0.589, 0.179, 0.958]]}

---

{"formula": "PmAlRu", "functional": "GGA-PBE", "state": "relaxed", "e_tot_ev_per_atom": -6.44, "polymorph_energy_kj_per_mol_fu": 0, "spacegroup": "No. 62", "lattice": [[4.630, 0.000, 0.000], [0.000, 7.005, 0.000], [0.000, 0.000, 7.486]], "species": ["Al", "Al", "Al", "Al", "Ru", "Ru", "Ru", "Ru", "Pm", "Pm", "Pm", "Pm"], "fractional_positions": [[0.750, 0.610, 0.685], [0.250, 0.110, 0.815], [0.750, 0.890, 0.185], [0.250, 0.390, 0.315], [0.250, 0.438, 0.654], [0.250, 0.062, 0.154], [0.750, 0.938, 0.846], [0.750, 0.562, 0.346], [0.250, 0.811, 0.471], [0.750, 0.189, 0.529], [0.250, 0.689, 0.971], [0.750, 0.311, 0.029]]}

---

{"formula": "SmTi2As4", "functional": "GGA-PBE", "state": "relaxed", "e_tot_ev_per_atom": -6.40, "spacegroup": "No. 63", "lattice": [[3.808, 0.000, 0.000], [-1.904, 6.186, 0.000], [0.000, 0.000, 12.422]], "species": ["As", "As", "As", "As", "As", "As", "As", "As", "Ti", "Ti", "Ti", "Ti", "Sm", "Sm"], "fractional_positions": [[0.500, 0.000, 0.500], [0.500, 0.000, 0.000], [0.242, 0.485, 0.620], [0.758, 0.515, 0.120], [0.242, 0.485, 0.880], [0.930, 0.859, 0.750], [0.070, 0.141, 0.250], [0.758, 0.515, 0.380], [0.131, 0.261, 0.057], [0.869, 0.739, 0.943], [0.131, 0.261, 0.443], [0.869, 0.739, 0.557], [0.612, 0.223, 0.750], [0.388, 0.777, 0.250]]}

---

{"formula": "AcLa2Br", "functional": "GGA-PBE", "state": "relaxed", "e_tot_ev_per_atom": -4.42, "polymorph_energy_kj_per_mol_fu": 30, "spacegroup": "No. 123", "lattice": [[3.742, 0.000, 0.000], [0.000, 3.742, 0.000], [0.000, 0.000, 9.847]], "species": ["Br", "Ac", "La", "La"], "fractional_positions": [[0.500, 0.500, 0.000], [0.500, 0.500, 0.500], [0.000, 0.000, 0.769], [0.000, 0.000, 0.231]]}

---

{"formula": "Pu3HgRh", "functional": "GGA-PBE", "state": "relaxed", "e_tot_ev_per_atom": -9.83, "spacegroup": "No. 187", "lattice": [[-2.662, -1.439, 0.810], [-0.468, -2.384, -5.773], [3.065, -3.161, 4.454]], "species": ["Pu", "Pu", "Pu", "Rh", "Hg"], "fractional_positions": [[0.500, 0.124, 0.876], [0.500, 0.124, 0.249], [0.500, 0.751, 0.876], [0.000, 0.333, 0.667], [0.000, 0.667, 0.333]]}

---

{"formula": "Rb2AlTlTe", "functional": "GGA-PBE", "state": "relaxed", "e_tot_ev_per_atom": -1.89, "spacegroup": "No. 123", "lattice": [[-4.419, -0.362, -5.295], [3.017, -4.606, -2.204], [-3.977, -4.336, 3.616]], "species": ["Te", "Tl", "Rb", "Rb", "Al"], "fractional_positions": [[0.000, 0.500, 0.000], [0.000, 0.000, 0.000], [0.500, 0.000, 0.000], [0.000, 0.000, 0.500], [0.500, 0.500, 0.500]]}

---

{"formula": "Sr2VAg", "functional": "GGA-PBE", "state": "relaxed", "e_tot_ev_per_atom": -3.44, "polymorph_energy_kj_per_mol_fu": 0, "spacegroup": "No. 225", "lattice": [[0.000, 3.960, 3.960], [3.960, 0.000, 3.960], [3.960, 3.960, 0.000]], "species": ["Sr", "Sr", "V", "Ag"], "fractional_positions": [[0.250, 0.250, 0.250], [0.750, 0.750, 0.750], [0.000, 0.000, 0.000], [0.500, 0.500, 0.500]]}